[1]
VASP calculation (GGA+U) on an optimized crystal structure of K2CoSiO.

The space group is P4/mmm (No. 123) and the conventional cell measures 6.5414, 6.5414 and 3.5829 Å, with angles of 90.00, 90.00 and 90.00 degrees. The asymmetric unit holds K at (0.0000, 0.5000, 0.0000), Co at (0.0000, 0.0000, 0.5000), Si at (0.5000, 0.5000, 0.0000) and O at (0.5000, 0.5000, 0.5000).

For the total energy, the calculation gives -3.310 eV/atom. The size of the total moment is 2.8 μB per formula unit. As for the volume: 30.66 A^3/atom.

=====

[2]
VASP calculation (GGA+U) on an optimized crystal structure of Pm2VSiO6.

The space group is P4mm (No. 99) and the conventional cell measures 5.3007, 5.3007 and 4.3561 Å, with angles of 90.00, 90.00 and 90.00 degrees. The asymmetric unit holds Pm at (0.0000, 0.5000, 0.0000), V at (0.0000, 0.0000, 0.5776), Si at (0.5000, 0.5000, 0.5583), O at (0.0000, 0.0000, 0.0874), O at (0.2744, 0.2744, 0.6572) and O at (0.5000, 0.5000, 0.1746).

For the total energy, the calculation gives -8.005 eV/atom. The size of the total moment is 3.0 μB per formula unit. As for the volume: 12.24 A^3/atom.